Density functional theory data (PBE) for a geometry-optimized Ca2Co structure.

Summary:
E_tot (Ha/atom): -0.13173
Formation enthalpy at 0 K (eV/atom): 0.119
Space-group type: Cmcm, No. 63
DOS(E_F) (states/eV/f.u.): 2.899

abc: 7.8978 7.8978 3.9913
angles: 90.00 90.00 130.83
With the nearest neighbours (Å) after each atom.
Element x y z (fractional)
Ca: 0.8847 0.6230 0.7500  3 Co 2.80-2.98
Ca: 0.1153 0.3770 0.2500  3 Co 2.80-2.98
Ca: 0.6230 0.8847 0.7500  3 Co 2.80-2.98
Ca: 0.3770 0.1153 0.2500  3 Co 2.80-2.98
Co: 0.0697 0.0697 0.7500  2 Co 2.20
Co: 0.9303 0.9303 0.2500  2 Co 2.20

***

Density functional theory data (PBE) for a geometry-optimized Li3TcN structure.

Summary:
E above lowest polymorph (meV per atom): 0
E_tot (Ha/atom): -0.15757
Space-group type: Pm-3m, No. 221
DOS(E_F) (states/eV/f.u.): 4.278

abc: 3.9170 3.9170 3.9170
angles: 90.00 90.00 90.00
With the nearest neighbours (Å) after each atom.
Element x y z (fractional)
Tc: 0.5000 0.5000 0.5000  12 Li 2.77
N: 0.0000 0.0000 0.0000  6 Li 1.96
Li: 0.5000 0.0000 0.0000  2 N 1.96
Li: 0.0000 0.0000 0.5000  2 N 1.96
Li: 0.0000 0.5000 0.0000  2 N 1.96

***

no.,spin magnetization (μB per cell)
1,1.343
2,3.383